KTlSb2 | PBEsol | relaxed

- Crystal system: monoclinic
- Density: 6.5 Mg/m³
- Magnetization: 0.0 μB/f.u.
- Formation energy (no corrections): -0.147 eV per atom
- Symmetry: Pm, No. 6

Lattice parameters (Å, degrees): 3.418 5.480 6.624 90.00 91.17 90.00
Fractional coordinates of all 4 atoms:
1 K 0.000 0.000 0.000
2 Tl 0.036 0.500 0.673
3 Sb 0.513 0.500 0.269
4 Sb 0.518 0.000 0.482